Density functional theory data (GGA-PBE) for ThMnNi3 after structural relaxation.

abc: 5.895 5.895 5.336
angles: 90.00 90.00 120.00
Fractional coordinates of all 10 atoms:
Th: 0.333 0.667 0.250
Th: 0.667 0.333 0.750
Mn: 0.000 0.000 0.000
Mn: 0.000 0.000 0.500
Ni: 0.198 0.396 0.750
Ni: 0.198 0.802 0.750
Ni: 0.396 0.198 0.250
Ni: 0.604 0.802 0.750
Ni: 0.802 0.198 0.250
Ni: 0.802 0.604 0.250

Output
Crystal system   hexagonal
Total magnetic moment   7.2 Bohr magnetons per cell
Density of states at the Fermi level   0.7401 states/eV/atom
Space group   P6_3/mmc (194)


Density functional theory data (GGA-PBE) for Th3Mn2Ni9 after structural relaxation.

abc: 7.896 7.896 7.896
angles: 150.74 111.78 75.90
Fractional coordinates of all 14 atoms:
Th: 0.000 0.000 0.000
Th: 0.299 0.299 0.000
Th: 0.701 0.701 0.000
Mn: 0.302 0.500 0.802
Mn: 0.698 0.500 0.198
Ni: 0.028 0.670 0.358
Ni: 0.161 0.879 0.281
Ni: 0.312 0.670 0.642
Ni: 0.402 0.121 0.281
Ni: 0.500 0.000 0.500
Ni: 0.598 0.879 0.719
Ni: 0.688 0.330 0.358
Ni: 0.839 0.121 0.719
Ni: 0.972 0.330 0.642

Output
Crystal system   orthorhombic
Total magnetic moment   8.2 Bohr magnetons per cell
Density of states at the Fermi level   0.7221 states/eV/atom
Space group   Immm (71)


no.,energy relative to the elements (kJ/mol of formula units)
1,-95
2,-393